6
Lattice="0.712 -4.165 -1.921 0.421 -3.757 2.693 -3.367 -3.194 0.070" Properties=species:S:1:pos:R:3 comment="BeFe4Mo, relaxed, DFT GGA-PBE" spacegroup=F-43m total_magnetization_mub_per_fu=5.9 ef_ev_per_atom=0.11 pbc="T T T"
Be 0.000 0.000 0.000
Fe 0.290 -5.350 0.492
Fe -1.608 -5.068 -0.823
Fe -1.397 -6.951 0.527
Fe -1.754 -4.864 1.490
Mo -0.559 -2.779 0.211